Record 1
# AcHg3Au8, relaxed, DFT GGA-PBE
# Calculated volume = 261 Å³/f.u.
# Magnetization = 0.00 μB per formula unit
# SG = R3m
# Total DFT energy (no corrections) = -2.82 eV per atom
# Relative energy among the computed polymorphs = 0 meV per atom
data_AcHg3Au8
_space_group_name_H-M_alt 'P 1'
_space_group_IT_number 1
_space_group_name_Hall 'P 1'
_cell_length_a 5.697
_cell_length_b 5.697
_cell_length_c 9.845
_cell_angle_alpha 73.18
_cell_angle_beta 73.18
_cell_angle_gamma 60.00
loop_
_atom_site_label
_atom_site_type_symbol
_atom_site_fract_x
_atom_site_fract_y
_atom_site_fract_z
Au1 Au 0.689 0.689 0.934
Au2 Au 0.440 0.440 0.182
Au3 Au 0.939 0.440 0.182
Au4 Au 0.188 0.188 0.436
Au5 Au 0.938 0.938 0.688
Au6 Au 0.938 0.437 0.688
Au7 Au 0.437 0.938 0.688
Au8 Au 0.440 0.939 0.182
Hg1 Hg 0.373 0.373 0.881
Hg2 Hg 0.005 0.005 0.984
Hg3 Hg 0.490 0.490 0.529
Ac1 Ac 0.875 0.875 0.376

Record 2
# AcHg2Au10, relaxed, DFT GGA-PBE
# Calculated volume = 271 Å³/f.u.
# Magnetization = 0.00 μB per formula unit
# SG = Fmmm
# Total DFT energy (no corrections) = -3.05 eV per atom
data_AcHg2Au10
_space_group_name_H-M_alt 'P 1'
_space_group_IT_number 1
_space_group_name_Hall 'P 1'
_cell_length_a 5.700
_cell_length_b 7.805
_cell_length_c 7.147
_cell_angle_alpha 81.63
_cell_angle_beta 66.50
_cell_angle_gamma 68.59
loop_
_atom_site_label
_atom_site_type_symbol
_atom_site_fract_x
_atom_site_fract_y
_atom_site_fract_z
Au1 Au 0.649 0.339 0.363
Au2 Au 0.351 0.661 0.637
Au3 Au 0.988 0.661 0.363
Au4 Au 0.288 0.210 0.214
Au5 Au 0.502 0.210 0.786
Au6 Au 0.012 0.339 0.637
Au7 Au 0.000 0.000 0.500
Au8 Au 0.500 0.000 0.500
Au9 Au 0.498 0.790 0.214
Au10 Au 0.712 0.790 0.786
Hg1 Hg 0.500 0.500 0.000
Hg2 Hg 0.000 0.500 0.000
Ac1 Ac 0.000 0.000 0.000

Record 3
# AcHg5Au, relaxed, DFT GGA-PBE
# Calculated volume = 194 Å³/f.u.
# Magnetization = 0.00 μB per formula unit
# SG = P4/mmm
# Total DFT energy (no corrections) = -1.55 eV per atom
data_AcHg5Au
_space_group_name_H-M_alt 'P 1'
_space_group_IT_number 1
_space_group_name_Hall 'P 1'
_cell_length_a 5.106
_cell_length_b 5.106
_cell_length_c 7.427
_cell_angle_alpha 90.00
_cell_angle_beta 90.00
_cell_angle_gamma 90.00
loop_
_atom_site_label
_atom_site_type_symbol
_atom_site_fract_x
_atom_site_fract_y
_atom_site_fract_z
Au1 Au 0.000 0.000 0.500
Hg1 Hg 0.500 0.000 0.704
Hg2 Hg 0.500 0.500 0.000
Hg3 Hg 0.000 0.500 0.296
Hg4 Hg 0.500 0.000 0.296
Hg5 Hg 0.000 0.500 0.704
Ac1 Ac 0.000 0.000 0.000

Record 4
# Ac3Hg3Au, relaxed, DFT GGA-PBE
# Calculated volume = 221 Å³/f.u.
# Magnetization = 0.00 μB per formula unit
# SG = Imm2
# Total DFT energy (no corrections) = -2.89 eV per atom
data_Ac3Hg3Au
_space_group_name_H-M_alt 'P 1'
_space_group_IT_number 1
_space_group_name_Hall 'P 1'
_cell_length_a 5.033
_cell_length_b 4.063
_cell_length_c 11.258
_cell_angle_alpha 100.40
_cell_angle_beta 102.92
_cell_angle_gamma 90.00
loop_
_atom_site_label
_atom_site_type_symbol
_atom_site_fract_x
_atom_site_fract_y
_atom_site_fract_z
Au1 Au 0.434 0.434 0.867
Hg1 Hg 0.565 0.565 0.130
Hg2 Hg 0.856 0.356 0.711
Hg3 Hg 0.146 0.646 0.292
Ac1 Ac 0.691 0.191 0.382
Ac2 Ac 0.315 0.815 0.631
Ac3 Ac 0.993 0.993 0.987

Record 5
# Ac2HgAu2, relaxed, DFT GGA-PBE
# Calculated volume = 147 Å³/f.u.
# Magnetization = 0.00 μB per formula unit
# SG = P4/mbm
# Total DFT energy (no corrections) = -3.77 eV per atom
data_Ac2HgAu2
_space_group_name_H-M_alt 'P 1'
_space_group_IT_number 1
_space_group_name_Hall 'P 1'
_cell_length_a 4.161
_cell_length_b 8.407
_cell_length_c 8.407
_cell_angle_alpha 90.00
_cell_angle_beta 90.00
_cell_angle_gamma 90.00
loop_
_atom_site_label
_atom_site_type_symbol
_atom_site_fract_x
_atom_site_fract_y
_atom_site_fract_z
Au1 Au 0.000 0.124 0.376
Au2 Au 0.000 0.376 0.876
Au3 Au 0.000 0.876 0.624
Au4 Au 0.000 0.624 0.124
Ac1 Ac 0.500 0.324 0.176
Ac2 Ac 0.500 0.824 0.324
Ac3 Ac 0.500 0.176 0.676
Ac4 Ac 0.500 0.676 0.824
Hg1 Hg 0.000 0.000 0.000
Hg2 Hg 0.000 0.500 0.500

Record 6
# AcHg2Au2, relaxed, DFT GGA-PBE
# Calculated volume = 132 Å³/f.u.
# Magnetization = 0.00 μB per formula unit
# SG = C2/m
# Total DFT energy (no corrections) = -2.70 eV per atom
# Relative energy among the computed polymorphs = 0 meV per atom
data_AcHg2Au2
_space_group_name_H-M_alt 'P 1'
_space_group_IT_number 1
_space_group_name_Hall 'P 1'
_cell_length_a 4.682
_cell_length_b 5.544
_cell_length_c 5.987
_cell_angle_alpha 110.89
_cell_angle_beta 113.02
_cell_angle_gamma 90.00
loop_
_atom_site_label
_atom_site_type_symbol
_atom_site_fract_x
_atom_site_fract_y
_atom_site_fract_z
Hg1 Hg 0.361 0.448 0.721
Hg2 Hg 0.639 0.552 0.279
Au1 Au 0.719 0.123 0.437
Au2 Au 0.281 0.877 0.563
Ac1 Ac 0.000 0.000 0.000

Record 7
# Ac2Hg6Au3, relaxed, DFT GGA-PBE
# Calculated volume = 290 Å³/f.u.
# Magnetization = 0.00 μB per formula unit
# SG = P-62m
# Total DFT energy (no corrections) = -2.14 eV per atom
data_Ac2Hg6Au3
_space_group_name_H-M_alt 'P 1'
_space_group_IT_number 1
_space_group_name_Hall 'P 1'
_cell_length_a 4.432
_cell_length_b 8.698
_cell_length_c 8.698
_cell_angle_alpha 120.00
_cell_angle_beta 90.00
_cell_angle_gamma 90.00
loop_
_atom_site_label
_atom_site_type_symbol
_atom_site_fract_x
_atom_site_fract_y
_atom_site_fract_z
Hg1 Hg 0.000 0.000 0.801
Hg2 Hg 0.000 0.199 0.199
Hg3 Hg 0.500 0.000 0.280
Hg4 Hg 0.000 0.801 0.000
Hg5 Hg 0.500 0.280 0.000
Hg6 Hg 0.500 0.720 0.720
Au1 Au 0.500 0.403 0.403
Au2 Au 0.500 0.000 0.597
Au3 Au 0.500 0.597 0.000
Ac1 Ac 0.000 0.333 0.667
Ac2 Ac 0.000 0.667 0.333

Record 8
# Ac3Hg9Au2, relaxed, DFT GGA-PBE
# Calculated volume = 375 Å³/f.u.
# Magnetization = 0.00 μB per formula unit
# SG = Immm
# Total DFT energy (no corrections) = -1.90 eV per atom
data_Ac3Hg9Au2
_space_group_name_H-M_alt 'P 1'
_space_group_IT_number 1
_space_group_name_Hall 'P 1'
_cell_length_a 5.279
_cell_length_b 9.142
_cell_length_c 9.142
_cell_angle_alpha 64.90
_cell_angle_beta 73.22
_cell_angle_gamma 73.22
loop_
_atom_site_label
_atom_site_type_symbol
_atom_site_fract_x
_atom_site_fract_y
_atom_site_fract_z
Au1 Au 0.500 0.351 0.649
Au2 Au 0.500 0.649 0.351
Hg1 Hg 0.641 0.715 0.003
Hg2 Hg 0.359 0.285 0.997
Hg3 Hg 0.148 0.138 0.566
Hg4 Hg 0.148 0.566 0.138
Hg5 Hg 0.000 0.500 0.500
Hg6 Hg 0.852 0.434 0.862
Hg7 Hg 0.641 0.003 0.715
Hg8 Hg 0.852 0.862 0.434
Hg9 Hg 0.359 0.997 0.285
Ac1 Ac 0.000 0.000 0.000
Ac2 Ac 0.297 0.703 0.703
Ac3 Ac 0.703 0.297 0.297

Record 9
# AcHgAu3, relaxed, DFT GGA-PBE
# Calculated volume = 127 Å³/f.u.
# Magnetization = 0.00 μB per formula unit
# SG = C2/m
# Total DFT energy (no corrections) = -3.30 eV per atom
data_AcHgAu3
_space_group_name_H-M_alt 'P 1'
_space_group_IT_number 1
_space_group_name_Hall 'P 1'
_cell_length_a 5.386
_cell_length_b 4.712
_cell_length_c 10.264
_cell_angle_alpha 103.27
_cell_angle_beta 91.46
_cell_angle_gamma 90.00
loop_
_atom_site_label
_atom_site_type_symbol
_atom_site_fract_x
_atom_site_fract_y
_atom_site_fract_z
Au1 Au 0.931 0.784 0.568
Au2 Au 0.571 0.291 0.581
Au3 Au 0.069 0.216 0.432
Au4 Au 0.429 0.709 0.419
Au5 Au 0.249 0.000 0.999
Au6 Au 0.751 0.000 0.001
Hg1 Hg 0.513 0.132 0.263
Hg2 Hg 0.487 0.868 0.737
Ac1 Ac 0.037 0.393 0.785
Ac2 Ac 0.963 0.607 0.215

Record 10
# Ac2Hg2Au3, relaxed, DFT GGA-PBE
# Calculated volume = 198 Å³/f.u.
# Magnetization = 0.00 μB per formula unit
# SG = C2/m
# Total DFT energy (no corrections) = -3.23 eV per atom
data_Ac2Hg2Au3
_space_group_name_H-M_alt 'P 1'
_space_group_IT_number 1
_space_group_name_Hall 'P 1'
_cell_length_a 4.693
_cell_length_b 6.206
_cell_length_c 7.424
_cell_angle_alpha 104.13
_cell_angle_beta 108.42
_cell_angle_gamma 90.00
loop_
_atom_site_label
_atom_site_type_symbol
_atom_site_fract_x
_atom_site_fract_y
_atom_site_fract_z
Au1 Au 0.000 0.500 0.000
Au2 Au 0.270 0.669 0.541
Au3 Au 0.730 0.331 0.459
Hg1 Hg 0.105 0.166 0.209
Hg2 Hg 0.895 0.834 0.791
Ac1 Ac 0.364 0.217 0.728
Ac2 Ac 0.636 0.783 0.272

Record 11
# Ac3Hg7Au2, relaxed, DFT GGA-PBE
# Calculated volume = 339 Å³/f.u.
# Magnetization = 0.00 μB per formula unit
# SG = P2/m
# Total DFT energy (no corrections) = -2.16 eV per atom
data_Ac3Hg7Au2
_space_group_name_H-M_alt 'P 1'
_space_group_IT_number 1
_space_group_name_Hall 'P 1'
_cell_length_a 4.417
_cell_length_b 4.953
_cell_length_c 15.682
_cell_angle_alpha 98.84
_cell_angle_beta 90.00
_cell_angle_gamma 90.00
loop_
_atom_site_label
_atom_site_type_symbol
_atom_site_fract_x
_atom_site_fract_y
_atom_site_fract_z
Hg1 Hg 0.000 0.000 0.000
Hg2 Hg 0.500 0.730 0.458
Hg3 Hg 0.500 0.081 0.161
Hg4 Hg 0.500 0.270 0.542
Hg5 Hg 0.500 0.919 0.839
Hg6 Hg 0.000 0.419 0.838
Hg7 Hg 0.000 0.581 0.162
Au1 Au 0.500 0.640 0.280
Au2 Au 0.500 0.360 0.720
Ac1 Ac 0.000 0.174 0.345
Ac2 Ac 0.000 0.826 0.655
Ac3 Ac 0.500 0.500 0.000